# KYBi2Os, relaxed, DFT PBE-GGA
data_KYBi2Os
_chemical_formula_sum 'K1 Y1 Bi2 Os1'
_symmetry_space_group_name_H-M 'P 4/m m m'
_symmetry_Int_Tables_number 123
_symmetry_space_group_name_Hall '-P 4 2'
_cell_length_a 5.7991
_cell_length_b 5.7991
_cell_length_c 6.7812
_cell_angle_alpha 90.00
_cell_angle_beta 90.00
_cell_angle_gamma 90.00
loop_
_atom_site_label
_atom_site_fract_x
_atom_site_fract_y
_atom_site_fract_z
K1 0.0000 0.0000 0.0000
Y1 0.0000 0.0000 0.5000
Bi1 0.0000 0.5000 0.5000
Os1 0.5000 0.5000 0.0000
# **Uncorrected energy**: -3.773 eV/atom
# **DFT formation energy**: 1.538 eV per atom